Record 1
# PBE-GGA SmY4Ho2Sc, optimized geometry
# **Energy of formation**: 0.039 eV/atom
# **Space group**: P2/m (10)
# **Density**: 5.88 g/cm3
data_SmY4Ho2Sc
_cell_length_a 3.537
_cell_length_b 6.108
_cell_length_c 11.699
_cell_angle_alpha 79.93
_cell_angle_beta 90.00
_cell_angle_gamma 90.00
_space_group_name_H-M_alt 'P 1'
_space_group_IT_number 1
loop_
_space_group_symop_operation_xyz
'x,y,z'
loop_
_atom_site_label
_atom_site_type_symbol
_atom_site_fract_x
_atom_site_fract_y
_atom_site_fract_z
Ho1 Ho 0.000 0.000 0.000
Ho2 Ho 0.500 0.000 0.500
Sc1 Sc 0.000 0.500 0.500
Y1 Y 0.500 0.255 0.743
Y2 Y 0.000 0.248 0.254
Y3 Y 0.500 0.745 0.257
Y4 Y 0.000 0.752 0.746
Sm1 Sm 0.500 0.500 0.000


Record 2
# PBE-GGA TcWSe4, optimized geometry
# **Space group**: F-43m (216)
# **Excess energy over the best structure of this formula in the dataset**: 1801.8 meV per atom
# **Density**: 8.44 g/cm3
data_TcWSe4
_cell_length_a 5.498
_cell_length_b 5.498
_cell_length_c 5.498
_cell_angle_alpha 60.00
_cell_angle_beta 60.00
_cell_angle_gamma 60.00
_space_group_name_H-M_alt 'P 1'
_space_group_IT_number 1
loop_
_space_group_symop_operation_xyz
'x,y,z'
loop_
_atom_site_label
_atom_site_type_symbol
_atom_site_fract_x
_atom_site_fract_y
_atom_site_fract_z
Se1 Se 0.375 0.375 0.875
Se2 Se 0.375 0.875 0.375
Se3 Se 0.875 0.375 0.375
Se4 Se 0.375 0.375 0.375
Tc1 Tc 0.750 0.750 0.750
W1 W 0.000 0.000 0.000


Record 3
# PBE-GGA RbIn2GaSn, optimized geometry
# **Energy of formation**: 0.349 eV/atom
# **Space group**: P4/mmm (123)
# **Excess energy over the best structure of this formula in the dataset**: 469.4 meV per atom
# **Density**: 4.55 g/cm3
data_RbIn2GaSn
_cell_length_a 5.467
_cell_length_b 6.151
_cell_length_c 5.467
_cell_angle_alpha 90.00
_cell_angle_beta 90.00
_cell_angle_gamma 90.00
_space_group_name_H-M_alt 'P 1'
_space_group_IT_number 1
loop_
_space_group_symop_operation_xyz
'x,y,z'
loop_
_atom_site_label
_atom_site_type_symbol
_atom_site_fract_x
_atom_site_fract_y
_atom_site_fract_z
Ga1 Ga 0.000 0.000 0.000
In1 In 0.000 0.000 0.500
In2 In 0.500 0.000 0.000
Sn1 Sn 0.500 0.500 0.500
Rb1 Rb 0.000 0.500 0.000


Record 4
# PBE-GGA Os2RuCl, optimized geometry
# **Space group**: I-42d (122)
# **Excess energy over the best structure of this formula in the dataset**: 979.5 meV per atom
# **Density**: 10.75 g/cm3
data_Os2RuCl
_cell_length_a 5.800
_cell_length_b 5.800
_cell_length_c 6.275
_cell_angle_alpha 62.48
_cell_angle_beta 62.48
_cell_angle_gamma 90.00
_space_group_name_H-M_alt 'P 1'
_space_group_IT_number 1
loop_
_space_group_symop_operation_xyz
'x,y,z'
loop_
_atom_site_label
_atom_site_type_symbol
_atom_site_fract_x
_atom_site_fract_y
_atom_site_fract_z
Cl1 Cl 0.500 0.500 0.000
Cl2 Cl 0.250 0.750 0.500
Ru1 Ru 0.750 0.250 0.500
Ru2 Ru 0.000 0.000 0.000
Os1 Os 0.375 0.376 0.750
Os2 Os 0.624 0.125 0.250
Os3 Os 0.126 0.625 0.250
Os4 Os 0.875 0.874 0.750


Record 5
# PBE-GGA ScPd6Pt3, optimized geometry
# **Energy of formation**: -0.315 eV/atom
# **Space group**: P2_1/m (11)
# **Density**: 13.36 g/cm3
data_ScPd6Pt3
_cell_length_a 4.007
_cell_length_b 8.860
_cell_length_c 8.882
_cell_angle_alpha 90.42
_cell_angle_beta 90.00
_cell_angle_gamma 90.00
_space_group_name_H-M_alt 'P 1'
_space_group_IT_number 1
loop_
_space_group_symop_operation_xyz
'x,y,z'
loop_
_atom_site_label
_atom_site_type_symbol
_atom_site_fract_x
_atom_site_fract_y
_atom_site_fract_z
Pt1 Pt 0.250 0.552 0.399
Pt2 Pt 0.750 0.654 0.200
Pt3 Pt 0.750 0.252 0.996
Pt4 Pt 0.250 0.346 0.800
Pt5 Pt 0.750 0.448 0.601
Pt6 Pt 0.250 0.748 0.004
Pd1 Pd 0.750 0.758 0.498
Pd2 Pd 0.250 0.155 0.199
Pd3 Pd 0.250 0.242 0.502
Pd4 Pd 0.750 0.549 0.901
Pd5 Pd 0.750 0.353 0.302
Pd6 Pd 0.250 0.451 0.099
Pd7 Pd 0.250 0.050 0.902
Pd8 Pd 0.750 0.142 0.693
Pd9 Pd 0.250 0.858 0.307
Pd10 Pd 0.250 0.647 0.698
Pd11 Pd 0.750 0.950 0.098
Pd12 Pd 0.750 0.845 0.801
Sc1 Sc 0.750 0.063 0.378
Sc2 Sc 0.250 0.937 0.622


Record 6
# PBE-GGA Y5Zn, optimized geometry
# **Energy of formation**: 0.363 eV/atom
# **Space group**: F-43m (216)
# **Excess energy over the best structure of this formula in the dataset**: 467.3 meV per atom
# **Density**: 4.51 g/cm3
data_Y5Zn
_cell_length_a 6.425
_cell_length_b 6.425
_cell_length_c 6.425
_cell_angle_alpha 60.00
_cell_angle_beta 60.00
_cell_angle_gamma 60.00
_space_group_name_H-M_alt 'P 1'
_space_group_IT_number 1
loop_
_space_group_symop_operation_xyz
'x,y,z'
loop_
_atom_site_label
_atom_site_type_symbol
_atom_site_fract_x
_atom_site_fract_y
_atom_site_fract_z
Y1 Y 0.625 0.625 0.625
Y2 Y 0.250 0.250 0.250
Y3 Y 0.625 0.625 0.126
Y4 Y 0.625 0.126 0.625
Y5 Y 0.126 0.625 0.625
Zn1 Zn 0.000 0.000 0.000


Record 7
# PBE-GGA Ac8Nd2Cd, optimized geometry
# **Energy of formation**: 0.041 eV/atom
# **Space group**: C2/m (12)
# **Excess energy over the best structure of this formula in the dataset**: 38.0 meV per atom
# **Density**: 8.00 g/cm3
data_Ac8Nd2Cd
_cell_length_a 6.079
_cell_length_b 8.291
_cell_length_c 10.194
_cell_angle_alpha 109.35
_cell_angle_beta 107.35
_cell_angle_gamma 90.00
_space_group_name_H-M_alt 'P 1'
_space_group_IT_number 1
loop_
_space_group_symop_operation_xyz
'x,y,z'
loop_
_atom_site_label
_atom_site_type_symbol
_atom_site_fract_x
_atom_site_fract_y
_atom_site_fract_z
Nd1 Nd 0.811 0.333 0.623
Nd2 Nd 0.189 0.667 0.377
Ac1 Ac 0.391 0.566 0.783
Ac2 Ac 0.983 0.230 0.967
Ac3 Ac 0.816 0.765 0.631
Ac4 Ac 0.017 0.770 0.033
Ac5 Ac 0.663 0.934 0.326
Ac6 Ac 0.609 0.434 0.217
Ac7 Ac 0.184 0.235 0.369
Ac8 Ac 0.337 0.066 0.674
Cd1 Cd 0.500 0.000 0.000


Record 8
# PBE-GGA CsKRb2F, optimized geometry
# **Space group**: P4/mmm (123)
# **Excess energy over the best structure of this formula in the dataset**: 67.9 meV per atom
# **Density**: 1.97 g/cm3
data_CsKRb2F
_cell_length_a 6.012
_cell_length_b 6.012
_cell_length_c 8.432
_cell_angle_alpha 90.00
_cell_angle_beta 90.00
_cell_angle_gamma 90.00
_space_group_name_H-M_alt 'P 1'
_space_group_IT_number 1
loop_
_space_group_symop_operation_xyz
'x,y,z'
loop_
_atom_site_label
_atom_site_type_symbol
_atom_site_fract_x
_atom_site_fract_y
_atom_site_fract_z
Rb1 Rb 0.000 0.500 0.000
Rb2 Rb 0.500 0.000 0.000
K1 K 0.000 0.000 0.500
Cs1 Cs 0.500 0.500 0.500
F1 F 0.000 0.000 0.000


Record 9
# PBE-GGA NdEr2InPd4, optimized geometry
# **Energy of formation**: -0.801 eV/atom
# **Space group**: R-3m (166)
# **Density**: 10.10 g/cm3
data_NdEr2InPd4
_cell_length_a 4.889
_cell_length_b 4.889
_cell_length_c 8.572
_cell_angle_alpha 73.43
_cell_angle_beta 73.43
_cell_angle_gamma 60.00
_space_group_name_H-M_alt 'P 1'
_space_group_IT_number 1
loop_
_space_group_symop_operation_xyz
'x,y,z'
loop_
_atom_site_label
_atom_site_type_symbol
_atom_site_fract_x
_atom_site_fract_y
_atom_site_fract_z
Pd1 Pd 0.619 0.619 0.144
Pd2 Pd 0.875 0.875 0.374
Pd3 Pd 0.125 0.125 0.626
Pd4 Pd 0.381 0.381 0.856
In1 In 0.500 0.500 0.500
Nd1 Nd 0.000 0.000 0.000
Er1 Er 0.756 0.756 0.732
Er2 Er 0.244 0.244 0.268


Record 10
# PBE-GGA AlNi2Pt2, optimized geometry
# **Energy of formation**: -0.224 eV/atom
# **Space group**: P-3m1 (164)
# **Excess energy over the best structure of this formula in the dataset**: 22.8 meV per atom
# **Density**: 11.61 g/cm3
data_AlNi2Pt2
_cell_length_a 4.133
_cell_length_b 4.133
_cell_length_c 5.169
_cell_angle_alpha 90.00
_cell_angle_beta 90.00
_cell_angle_gamma 120.00
_space_group_name_H-M_alt 'P 1'
_space_group_IT_number 1
loop_
_space_group_symop_operation_xyz
'x,y,z'
loop_
_atom_site_label
_atom_site_type_symbol
_atom_site_fract_x
_atom_site_fract_y
_atom_site_fract_z
Ni1 Ni 0.667 0.333 0.374
Ni2 Ni 0.333 0.667 0.626
Al1 Al 0.000 0.000 0.000
Pt1 Pt 0.667 0.333 0.846
Pt2 Pt 0.333 0.667 0.154


Record 11
# PBE-GGA BeC3N, optimized geometry
# **Space group**: Pm-3m (221)
# **Excess energy over the best structure of this formula in the dataset**: 0.0 meV per atom
# **Density**: 2.55 g/cm3
data_BeC3N
_cell_length_a 3.375
_cell_length_b 3.375
_cell_length_c 3.375
_cell_angle_alpha 90.00
_cell_angle_beta 90.00
_cell_angle_gamma 90.00
_space_group_name_H-M_alt 'P 1'
_space_group_IT_number 1
loop_
_space_group_symop_operation_xyz
'x,y,z'
loop_
_atom_site_label
_atom_site_type_symbol
_atom_site_fract_x
_atom_site_fract_y
_atom_site_fract_z
Be1 Be 0.500 0.500 0.500
N1 N 0.000 0.000 0.000
C1 C 0.000 0.500 0.000
C2 C 0.000 0.000 0.500
C3 C 0.500 0.000 0.000


Record 12
# PBE-GGA Tb4Tl2TeSe, optimized geometry
# **Space group**: P2/m (10)
# **Uncorrected energy**: -4.658 eV per atom
# **Density**: 9.06 g/cm3
data_Tb4Tl2TeSe
_cell_length_a 4.087
_cell_length_b 7.096
_cell_length_c 8.244
_cell_angle_alpha 106.53
_cell_angle_beta 90.00
_cell_angle_gamma 90.00
_space_group_name_H-M_alt 'P 1'
_space_group_IT_number 1
loop_
_space_group_symop_operation_xyz
'x,y,z'
loop_
_atom_site_label
_atom_site_type_symbol
_atom_site_fract_x
_atom_site_fract_y
_atom_site_fract_z
Te1 Te 0.500 0.500 0.000
Tl1 Tl 0.000 0.500 0.500
Tl2 Tl 0.500 0.000 0.500
Tb1 Tb 0.000 0.756 0.237
Tb2 Tb 0.500 0.768 0.771
Tb3 Tb 0.500 0.232 0.229
Tb4 Tb 0.000 0.244 0.763
Se1 Se 0.000 0.000 0.000